No. 1
Computed, not measured: a relaxed structure of RbMg2ZnIr at the PBE level of DFT.

The calculation puts the calculated volume at 132.6 Å³/cell. Its final energy is -2.92 eV/atom. Its formation energy is -0.0662 eV/atom.

Cell: 5.127 5.127 5.046 Å, 90.00 90.00 90.00°
Atoms (fractional coordinates):
Rb 0.000 0.000 0.000
Mg 0.000 0.500 0.500
Mg 0.500 0.000 0.500
Zn 0.500 0.500 0.000
Ir 0.500 0.500 0.500



No. 2
Computed, not measured: a relaxed structure of Ga3AgC at the PBE level of DFT.

The value obtained for the energy above the most stable polymorph in this dataset is 0 meV per atom. The calculation puts the calculated volume at 82.3 Å³/cell. Its final energy is -3.55 eV/atom. Its formation energy is 0.6843 eV/atom.

Cell: 4.350 4.350 4.350 Å, 90.00 90.00 90.00°
Atoms (fractional coordinates):
Ga 0.000 0.000 0.500
Ga 0.000 0.500 0.000
Ga 0.500 0.000 0.000
Ag 0.500 0.500 0.500
C 0.000 0.000 0.000



No. 3
Computed, not measured: a relaxed structure of Be6CoCu at the PBE level of DFT.

The value obtained for the energy above the most stable polymorph in this dataset is 0 meV per atom. The calculation puts the calculated volume at 69.0 Å³/cell. Its final energy is -4.35 eV/atom. Its formation energy is -0.1579 eV/atom.

Cell: 3.680 4.564 4.106 Å, 90.00 90.00 90.00°
Atoms (fractional coordinates):
Be 0.000 0.000 0.000
Be 0.000 0.245 0.495
Be 0.000 0.755 0.495
Be 0.500 0.235 0.809
Be 0.500 0.500 0.337
Be 0.500 0.765 0.809
Co 0.500 0.000 0.310
Cu 0.000 0.500 0.004



No. 4
Computed, not measured: a relaxed structure of CaMg4Sn4 at the PBE level of DFT.

The calculation puts the calculated volume at 538.6 Å³/cell. Its final energy is -2.82 eV/atom. Its formation energy is -0.1103 eV/atom.

Cell: 9.355 9.355 6.155 Å, 90.00 90.00 90.00°
Atoms (fractional coordinates):
Ca 0.250 0.250 0.250
Ca 0.750 0.750 0.750
Mg 0.094 0.621 0.127
Mg 0.121 0.906 0.627
Mg 0.379 0.594 0.627
Mg 0.406 0.879 0.127
Mg 0.594 0.121 0.873
Mg 0.621 0.406 0.373
Mg 0.879 0.094 0.373
Mg 0.906 0.379 0.873
Sn 0.071 0.598 0.645
Sn 0.098 0.929 0.145
Sn 0.402 0.571 0.145
Sn 0.429 0.902 0.645
Sn 0.571 0.098 0.355
Sn 0.598 0.429 0.855
Sn 0.902 0.071 0.855
Sn 0.929 0.402 0.355



No. 5
Computed, not measured: a relaxed structure of Ca2CoTeAs at the PBE level of DFT.

The calculation puts the calculated volume at 130.8 Å³/cell. For the formation energy (no corrections), the calculation gives -0.687 eV/atom. Its final energy is -4.47 eV/atom.

Cell: 5.539 5.539 4.262 Å, 90.00 90.00 90.00°
Atoms (fractional coordinates):
Ca 0.000 0.500 0.000
Ca 0.500 0.000 0.000
Co 0.000 0.000 0.000
Te 0.500 0.500 0.500
As 0.000 0.000 0.500



No. 6
Computed, not measured: a relaxed structure of CaAc2Si at the PBE level of DFT.

The value obtained for the energy above the most stable polymorph in this dataset is 92 meV per atom. The calculation puts the calculated volume at 509.0 Å³/cell. For the formation energy (no corrections), the calculation gives -0.156 eV/atom. Its final energy is -4.07 eV/atom.

Cell: 4.322 4.322 31.467 Å, 90.00 90.00 120.00°
Atoms (fractional coordinates):
Ca 0.000 0.000 0.000
Ca 0.333 0.667 0.667
Ca 0.667 0.333 0.333
Ac 0.000 0.000 0.225
Ac 0.000 0.000 0.443
Ac 0.333 0.667 0.110
Ac 0.333 0.667 0.891
Ac 0.667 0.333 0.558
Ac 0.667 0.333 0.776
Si 0.000 0.000 0.834
Si 0.333 0.667 0.501
Si 0.667 0.333 0.168



No. 7
Computed, not measured: a relaxed structure of Mg4Zn2H at the PBE level of DFT.

The calculation puts the calculated volume at 249.7 Å³/cell. Its final energy is -1.73 eV/atom.

Cell: 4.109 4.109 14.787 Å, 90.00 90.00 90.00°
Atoms (fractional coordinates):
Mg 0.000 0.000 0.179
Mg 0.000 0.000 0.821
Mg 0.000 0.500 0.000
Mg 0.000 0.500 0.500
Mg 0.500 0.000 0.000
Mg 0.500 0.000 0.500
Mg 0.500 0.500 0.321
Mg 0.500 0.500 0.679
Zn 0.000 0.000 0.364
Zn 0.000 0.000 0.636
Zn 0.500 0.500 0.136
Zn 0.500 0.500 0.864
H 0.000 0.000 0.000
H 0.500 0.500 0.500



No. 8
Computed, not measured: a relaxed structure of Ge3RhSe at the PBE level of DFT.

The value obtained for the energy above the most stable polymorph in this dataset is 1069 meV per atom. The calculation puts the calculated volume at 118.1 Å³/cell. For the formation energy (no corrections), the calculation gives 1.095 eV/atom. Its final energy is -3.84 eV/atom.

Cell: 4.906 4.906 4.906 Å, 90.00 90.00 90.00°
Atoms (fractional coordinates):
Ge 0.000 0.000 0.500
Ge 0.000 0.500 0.000
Ge 0.500 0.000 0.000
Rh 0.500 0.500 0.500
Se 0.000 0.000 0.000



No. 9
Computed, not measured: a relaxed structure of KPd2F2 at the PBE level of DFT.

The value obtained for the energy above the most stable polymorph in this dataset is 0 meV per atom. The calculation puts the calculated volume at 182.9 Å³/cell. For the formation energy (no corrections), the calculation gives -0.719 eV/atom. Its final energy is -3.76 eV/atom.

Cell: 7.914 7.914 2.921 Å, 90.00 90.00 90.00°
Atoms (fractional coordinates):
K 0.000 0.000 0.000
K 0.500 0.500 0.000
Pd 0.109 0.391 0.000
Pd 0.391 0.891 0.000
Pd 0.609 0.109 0.000
Pd 0.891 0.609 0.000
F 0.241 0.741 0.500
F 0.259 0.241 0.500
F 0.741 0.759 0.500
F 0.759 0.259 0.500



No. 10
Computed, not measured: a relaxed structure of NdGdLuSn at the PBE level of DFT.

The calculation puts the calculated volume at 462.2 Å³/cell. Its final energy is -7.11 eV/atom. Its formation energy is -0.2656 eV/atom.

Cell: 7.732 7.732 7.732 Å, 90.00 90.00 90.00°
Atoms (fractional coordinates):
Nd 0.000 0.000 0.000
Nd 0.000 0.500 0.500
Nd 0.500 0.000 0.500
Nd 0.500 0.500 0.000
Gd 0.000 0.000 0.500
Gd 0.000 0.500 0.000
Gd 0.500 0.000 0.000
Gd 0.500 0.500 0.500
Lu 0.250 0.250 0.750
Lu 0.250 0.750 0.250
Lu 0.750 0.250 0.250
Lu 0.750 0.750 0.750
Sn 0.250 0.250 0.250
Sn 0.250 0.750 0.750
Sn 0.750 0.250 0.750
Sn 0.750 0.750 0.250



No. 11
Computed, not measured: a relaxed structure of Ti2Cu4Ni at the PBE level of DFT.

The calculation puts the calculated volume at 202.0 Å³/cell. Its final energy is -5.26 eV/atom. Its formation energy is 0.1615 eV/atom.

Cell: 6.420 6.420 6.420 Å, 112.63 112.63 103.33°
Atoms (fractional coordinates):
Ti 0.155 0.655 0.809
Ti 0.345 0.155 0.500
Ti 0.655 0.845 0.500
Ti 0.845 0.345 0.191
Cu 0.024 0.817 0.500
Cu 0.183 0.683 0.207
Cu 0.317 0.524 0.500
Cu 0.476 0.976 0.793
Cu 0.524 0.024 0.207
Cu 0.683 0.476 0.500
Cu 0.817 0.317 0.793
Cu 0.976 0.183 0.500
Ni 0.250 0.250 0.000
Ni 0.750 0.750 0.000



No. 12
Computed, not measured: a relaxed structure of MnBeZn2 at the PBE level of DFT.

The calculation puts the calculated volume at 99.5 Å³/cell. Its final energy is -3.73 eV/atom. Its formation energy is 0.1337 eV/atom.

Cell: 9.461 2.591 4.558 Å, 90.00 117.12 90.00°
Atoms (fractional coordinates):
Mn 0.000 0.000 0.000
Mn 0.500 0.500 0.000
Be 0.264 0.000 0.925
Be 0.764 0.500 0.925
Zn 0.019 0.500 0.519
Zn 0.259 0.500 0.404
Zn 0.519 0.000 0.519
Zn 0.759 0.000 0.404



No. 13
Computed, not measured: a relaxed structure of Na3Zn2Ga4 at the PBE level of DFT.

The value obtained for the energy above the most stable polymorph in this dataset is 0 meV per atom. The calculation puts the calculated volume at 185.2 Å³/cell. Its final energy is -2.16 eV/atom. Its formation energy is -0.0870 eV/atom.

Cell: 5.647 5.647 8.639 Å, 112.40 112.40 47.67°
Atoms (fractional coordinates):
Na 0.000 0.000 0.000
Na 0.302 0.302 0.371
Na 0.698 0.698 0.629
Zn 0.453 0.453 0.768
Zn 0.547 0.547 0.232
Ga 0.007 0.007 0.652
Ga 0.267 0.267 0.922
Ga 0.733 0.733 0.078
Ga 0.993 0.993 0.348